[1]
ReAg2, relaxed, DFT PBE; E above lowest polymorph = 45 meV per atom; total magnetization = 0.000 Bohr magnetons per cell; D(E_F) = 1.83 states/eV/f.u.; ΔH_f (0 K) = 0.463 eV/atom
1.0
-3.4436 -2.5866 2.2274
-2.4324 -4.1848 0.2842
2.9675 -5.5614 6.1181
Re Ag
2 4
Direct
0.3476 0.3476 0.5639
0.6524 0.6524 0.4361
0.3294 0.3294 0.0940
0.6706 0.6706 0.9060
0.9965 0.9965 0.7554
0.0035 0.0035 0.2446


[2]
LaCd5, relaxed, DFT PBE; total magnetization = 0.000 Bohr magnetons per cell; D(E_F) = 3.74 states/eV/f.u.; ΔH_f (0 K) = -0.239 eV/atom
1.0
-2.1933 0.6451 4.4685
4.9684 -1.2918 -0.1939
0.8569 6.7315 -0.5512
Cd La
5 1
Direct
0.1891 0.3781 0.7611
0.8109 0.6219 0.2389
0.1385 0.2770 0.2384
0.8615 0.7230 0.7616
0.5000 0.0000 0.0000
0.5000 0.0000 0.5000


[3]
Na3Tb2IrO6, relaxed, DFT PBE; total magnetization = 0.000 Bohr magnetons per cell; D(E_F) = 0.00 states/eV/f.u.; formation energy without anion corrections = -2.133 eV per atom
1.0
-1.3513 2.6585 4.8446
-3.5070 -3.9321 -2.1457
4.2593 -3.5799 2.0616
Tb O Ir Na
2 6 1 3
Direct
0.6677 0.3323 0.0000
0.3323 0.6677 0.0000
0.2472 0.2472 0.7858
0.6120 0.9275 0.7816
0.7528 0.7528 0.2142
0.0725 0.3880 0.2184
0.9275 0.6120 0.7816
0.3880 0.0725 0.2184
0.0000 0.0000 0.0000
0.8444 0.1556 0.5000
0.5000 0.5000 0.5000
0.1556 0.8444 0.5000


[4]
UMo3Se8, relaxed, DFT PBE; total magnetization = 3.816 Bohr magnetons per cell; D(E_F) = 7.68 states/eV/f.u.; formation energy without anion corrections = -0.597 eV per atom
1.0
7.0897 0.0000 0.0000
-3.5448 6.1398 0.0000
0.0000 0.0000 13.1239
Se Mo U
16 6 2
Direct
0.3333 0.6667 0.0748
0.5084 0.4916 0.3373
0.4916 0.5084 0.8373
0.3307 0.1654 0.1132
0.0000 0.0000 0.3095
0.4916 0.9832 0.8373
0.0000 0.0000 0.8095
0.8346 0.1654 0.1132
0.1654 0.3307 0.6132
0.8346 0.6693 0.1132
0.6667 0.3333 0.5748
0.0168 0.5084 0.8373
0.9832 0.4916 0.3373
0.6693 0.8346 0.6132
0.5084 0.0168 0.3373
0.1654 0.8346 0.6132
0.1974 0.8026 0.2165
0.8026 0.6052 0.7165
0.8026 0.1974 0.7165
0.1974 0.3948 0.2165
0.6052 0.8026 0.2165
0.3948 0.1974 0.7165
0.6667 0.3333 0.9717
0.3333 0.6667 0.4717


[5]
Nb4MoW3, relaxed, DFT PBE; E above lowest polymorph = 0 meV per atom; total magnetization = 0.000 Bohr magnetons per cell; D(E_F) = 5.36 states/eV/f.u.; ΔH_f (0 K) = -0.074 eV/atom
1.0
-1.7042 1.1791 -2.4843
-3.5403 -2.6727 1.1600
-3.2581 6.6569 5.3943
Mo Nb W
1 4 3
Direct
0.5000 0.5000 0.0000
0.0000 0.5000 0.7509
0.0000 0.0000 0.0000
0.0000 0.0000 0.5000
0.0000 0.5000 0.2491
0.5000 0.0000 0.7496
0.5000 0.0000 0.2504
0.5000 0.5000 0.5000


[6]
ScCo2Se, relaxed, DFT PBE; total magnetization = 1.948 Bohr magnetons per cell; D(E_F) = 5.32 states/eV/f.u.; formation energy without anion corrections = -0.167 eV per atom
1.0
-0.1021 -1.7537 -2.7406
0.5385 -2.7147 1.7170
-5.4401 -0.6770 0.6359
Co Sc Se
2 1 1
Direct
0.0000 0.0000 0.5112
0.0000 0.0000 0.9888
0.5000 0.5000 0.2500
0.5000 0.5000 0.7500


[7]
NdHo8Hg6, relaxed, DFT PBE; total magnetization = 1.225 Bohr magnetons per cell; D(E_F) = 18.31 states/eV/f.u.; ΔH_f (0 K) = -0.235 eV/atom
1.0
8.9282 0.0000 0.0000
4.4641 7.7320 0.0000
4.4641 2.5773 6.3329
Hg Ho Nd
6 8 1
Direct
0.4024 0.0595 0.8217
0.7164 0.4024 0.8217
0.9405 0.2836 0.1783
0.5976 0.9405 0.1783
0.2836 0.5976 0.1783
0.0595 0.7164 0.8217
0.1166 0.4390 0.6607
0.5610 0.2163 0.3393
0.7837 0.1166 0.6607
0.6686 0.6686 0.9941
0.3314 0.3314 0.0059
0.4390 0.7837 0.6607
0.8834 0.5610 0.3393
0.2163 0.8834 0.3393
0.0000 0.0000 0.0000


[8]
MgVN2, relaxed, DFT PBE; total magnetization = 1.763 Bohr magnetons per cell; D(E_F) = 2.23 states/eV/f.u.; formation energy without anion corrections = -0.871 eV per atom
1.0
-4.3094 -0.4728 -1.6657
-0.6341 -3.7265 2.6982
-4.0324 0.5459 3.8032
Mg N V
2 4 2
Direct
0.5000 0.5000 0.0000
0.2500 0.7500 0.5000
0.6675 0.1250 0.2500
0.8750 0.9175 0.7500
0.3750 0.3325 0.7500
0.0825 0.6250 0.2500
0.7500 0.2500 0.5000
0.0000 0.0000 0.0000


[9]
RbRh2O, relaxed, DFT PBE; total magnetization = 0.004 Bohr magnetons per cell; D(E_F) = 11.89 states/eV/f.u.; formation energy without anion corrections = -0.017 eV per atom
1.0
-4.2464 3.8595 -2.7262
0.1331 -3.5661 -5.2560
-5.4042 -2.3836 -2.3590
Rh Rb O
4 2 2
Direct
0.3750 0.6250 0.7500
0.3750 0.1250 0.2500
0.3750 0.6250 0.2500
0.8750 0.6250 0.7500
0.0000 0.0000 0.0000
0.7500 0.2500 0.5000
0.5000 0.5000 0.0000
0.2500 0.7500 0.5000


[10]
CsCu9As4, relaxed, DFT PBE; total magnetization = 0.000 Bohr magnetons per cell; D(E_F) = 4.53 states/eV/f.u.; ΔH_f (0 K) = 0.030 eV/atom
1.0
-2.0508 -1.0537 -8.1043
3.0960 -7.8329 0.2350
-6.1615 2.2659 5.6446
As Cs Cu
8 2 18
Direct
0.5510 0.6993 0.7503
0.4490 0.3007 0.2497
0.9490 0.4490 0.2497
0.1993 0.0510 0.7503
0.6993 0.1993 0.7503
0.8007 0.9490 0.2497
0.3007 0.8007 0.2497
0.0510 0.5510 0.7503
0.7500 0.7500 0.5000
0.2500 0.2500 0.5000
0.2921 0.5612 0.3533
0.0612 0.7921 0.3533
0.9417 0.7938 0.0000
0.2062 0.9417 0.0000
0.4417 0.7062 0.0000
0.0583 0.2062 0.0000
0.2079 0.7079 0.6467
0.7938 0.0583 0.0000
0.5612 0.0612 0.3533
0.5583 0.2938 0.0000
0.5000 0.0000 0.0000
0.2938 0.4417 0.0000
0.7062 0.5583 0.0000
0.7079 0.4388 0.6467
0.7921 0.2921 0.3533
0.4388 0.9388 0.6467
0.9388 0.2079 0.6467
0.0000 0.5000 0.0000


[11]
Sr3CaSe4, relaxed, DFT PBE; total magnetization = 0.000 Bohr magnetons per cell; D(E_F) = 0.00 states/eV/f.u.; formation energy without anion corrections = -2.051 eV per atom
1.0
-1.6415 2.7784 -2.9914
-6.7749 -0.2599 3.4762
4.1610 5.6516 2.9659
Sr Se Ca
3 4 1
Direct
0.5000 0.5000 0.5000
0.0000 0.0000 0.5000
0.0000 0.5000 0.0000
0.0000 0.2416 0.2416
0.5000 0.7545 0.2455
0.0000 0.7584 0.7584
0.5000 0.2455 0.7545
0.5000 0.0000 0.0000


[12]
Sc2PRu2, relaxed, DFT PBE; E above lowest polymorph = 438 meV per atom; total magnetization = 0.000 Bohr magnetons per cell; D(E_F) = 3.52 states/eV/f.u.; ΔH_f (0 K) = -0.205 eV/atom
1.0
-2.5999 2.5999 3.5158
2.5999 -2.5999 3.5158
2.5999 2.5999 -3.5158
Sc Ru P
2 2 1
Direct
0.7500 0.2500 0.5000
0.2500 0.7500 0.5000
0.3101 0.3101 0.0000
0.6899 0.6899 0.0000
0.0000 0.0000 0.0000


[13]
Tb2NdSm6Ho3, relaxed, DFT PBE; total magnetization = 0.000 Bohr magnetons per cell; D(E_F) = 15.04 states/eV/f.u.; ΔH_f (0 K) = 0.015 eV/atom
1.0
-4.7895 -3.0498 2.5670
2.3382 -1.9009 -5.4543
8.3017 -5.3576 6.6095
Sm Tb Nd Ho
6 2 1 3
Direct
0.7504 0.7504 0.2522
0.5817 0.9157 0.7478
0.0843 0.4183 0.2522
0.2496 0.2496 0.7478
0.4183 0.0843 0.2522
0.9157 0.5817 0.7478
0.3334 0.6666 0.0000
0.6666 0.3334 0.0000
0.0000 0.0000 0.0000
0.5000 0.5000 0.5000
0.8331 0.1669 0.5000
0.1669 0.8331 0.5000


[14]
K2AlW, relaxed, DFT PBE; total magnetization = 2.987 Bohr magnetons per cell; D(E_F) = 1.34 states/eV/f.u.; ΔH_f (0 K) = 1.234 eV/atom
1.0
-5.2926 3.5352 0.2914
-1.4175 0.8200 6.1573
4.8368 1.2063 -3.9679
K W Al
2 1 1
Direct
0.0306 0.0306 0.0000
0.7241 0.2241 0.5000
0.4284 0.4284 0.0000
0.3169 0.8169 0.5000


[15]
Na6GaF12, relaxed, DFT PBE; total magnetization = 3.181 Bohr magnetons per cell; D(E_F) = 1.17 states/eV/f.u.; formation energy without anion corrections = -2.303 eV per atom
1.0
-6.2858 0.8280 -1.4115
-0.6689 -3.6578 5.3256
1.1161 5.7162 2.8755
Na F Ga
6 12 1
Direct
0.7466 0.3871 0.8522
0.1478 0.2534 0.6129
0.2534 0.6129 0.1478
0.8522 0.7466 0.3871
0.6129 0.1478 0.2534
0.3871 0.8522 0.7466
0.4768 0.1458 0.5638
0.7079 0.0305 0.9309
0.4362 0.5232 0.8542
0.1458 0.5638 0.4768
0.9309 0.7079 0.0305
0.0305 0.9309 0.7079
0.5638 0.4768 0.1458
0.9695 0.0691 0.2921
0.5232 0.8542 0.4362
0.2921 0.9695 0.0691
0.8542 0.4362 0.5232
0.0691 0.2921 0.9695
0.0000 0.0000 0.0000